Entry 1:
## V2Ir2Br (PBE)

Data for a relaxed structure of V2Ir2Br.

a b c (Å): 7.1304 7.1304 7.1304
angles (deg): 149.25 149.25 44.05
Closest atoms and distances in Å follow each position.
Atoms (fractional coordinates):
1 V 0.1259 0.1259 0.0000  4 Ir 2.50
2 V 0.8741 0.8741 0.0000  4 Ir 2.50
3 Ir 0.2500 0.7500 0.5000  4 V 2.50, 4 Ir 2.67
4 Ir 0.7500 0.2500 0.5000  4 V 2.50, 4 Ir 2.67
5 Br 0.5000 0.5000 0.0000  8 V 3.15

Properties
electronic total energy	-36.82	eV/cell
DOS(E_F)	5.1	states/eV/cell
uncorrected formation energy	3.7	kcal/mol of atoms
space-group type	I4/mmm

Entry 2:
## TbErTh2 (PBE)

Data for a relaxed structure of TbErTh2.

a b c (Å): 11.7684 11.7684 11.7684
angles (deg): 17.38 17.38 17.38
Closest atoms and distances in Å follow each position.
Atoms (fractional coordinates):
1 Tb 0.0000 0.0000 0.0000  6 Th 3.51-3.61, 6 Tb 3.56
2 Er 0.8300 0.8300 0.8300  6 Th 3.50-3.59, 6 Er 3.56
3 Th 0.2480 0.2480 0.2480  6 Th 3.56, 3 Er 3.59, 3 Tb 3.61
4 Th 0.4152 0.4152 0.4152  3 Er 3.50, 3 Tb 3.51, 6 Th 3.56

Properties
electronic total energy	-23.88	eV/cell
DOS(E_F)	6.1	states/eV/cell
space-group type	R3m

Entry 3:
## TaGe2Au (PBE)

Data for a relaxed structure of TaGe2Au.

a b c (Å): 9.5140 9.5140 9.5140
angles (deg): 18.31 18.31 18.31
Closest atoms and distances in Å follow each position.
Atoms (fractional coordinates):
1 Ta 0.0000 0.0000 0.0000  6 Ge 2.78, 6 Ta 3.03
2 Ge 0.4104 0.4104 0.4104  1 Au 2.51, 3 Ta 2.78
3 Ge 0.5896 0.5896 0.5896  1 Au 2.51, 3 Ta 2.78
4 Au 0.5000 0.5000 0.5000  2 Ge 2.51

Properties
electronic total energy	-24.41	eV/cell
DOS(E_F)	1.3	states/eV/cell
space-group type	R-3m

Entry 4:
## VCo2Ni2 (PBE)

Data for a relaxed structure of VCo2Ni2.

a b c (Å): 6.8011 6.8011 2.5135
angles (deg): 90.00 90.00 90.00
Closest atoms and distances in Å follow each position.
Atoms (fractional coordinates):
1 V 0.0000 0.0000 0.0000  2 V 2.51, 4 Co 2.70, 8 Ni 2.81
2 V 0.5000 0.5000 0.0000  2 V 2.51, 4 Co 2.70, 8 Ni 2.81
3 Co 0.1230 0.3770 0.0000  6 Ni 2.33-2.40, 3 Co 2.37-2.51
4 Co 0.3770 0.8770 0.0000  6 Ni 2.33-2.40, 3 Co 2.37-2.51
5 Co 0.6230 0.1230 0.0000  6 Ni 2.33-2.40, 3 Co 2.37-2.51
6 Co 0.8770 0.6230 0.0000  6 Ni 2.33-2.40, 3 Co 2.37-2.51
7 Ni 0.1736 0.6736 0.5000  6 Co 2.33-2.40, 2 Ni 2.51
8 Ni 0.3264 0.1736 0.5000  6 Co 2.33-2.40, 2 Ni 2.51
9 Ni 0.6736 0.8264 0.5000  6 Co 2.33-2.40, 2 Ni 2.51
10 Ni 0.8264 0.3264 0.5000  6 Co 2.33-2.40, 2 Ni 2.51

Properties
electronic total energy	-68.57	eV/cell
DOS(E_F)	16.0	states/eV/cell
space-group type	P4/mbm

> Which of these has the lowest DOS(E_F)?

TaGe2Au

Please write out number 4 again, unchanged.
## VCo2Ni2 (PBE)

Data for a relaxed structure of VCo2Ni2.

a b c (Å): 6.8011 6.8011 2.5135
angles (deg): 90.00 90.00 90.00
Closest atoms and distances in Å follow each position.
Atoms (fractional coordinates):
1 V 0.0000 0.0000 0.0000  2 V 2.51, 4 Co 2.70, 8 Ni 2.81
2 V 0.5000 0.5000 0.0000  2 V 2.51, 4 Co 2.70, 8 Ni 2.81
3 Co 0.1230 0.3770 0.0000  6 Ni 2.33-2.40, 3 Co 2.37-2.51
4 Co 0.3770 0.8770 0.0000  6 Ni 2.33-2.40, 3 Co 2.37-2.51
5 Co 0.6230 0.1230 0.0000  6 Ni 2.33-2.40, 3 Co 2.37-2.51
6 Co 0.8770 0.6230 0.0000  6 Ni 2.33-2.40, 3 Co 2.37-2.51
7 Ni 0.1736 0.6736 0.5000  6 Co 2.33-2.40, 2 Ni 2.51
8 Ni 0.3264 0.1736 0.5000  6 Co 2.33-2.40, 2 Ni 2.51
9 Ni 0.6736 0.8264 0.5000  6 Co 2.33-2.40, 2 Ni 2.51
10 Ni 0.8264 0.3264 0.5000  6 Co 2.33-2.40, 2 Ni 2.51

Properties
electronic total energy	-68.57	eV/cell
DOS(E_F)	16.0	states/eV/cell
space-group type	P4/mbm

> What is the formula in the first record?

V2Ir2Br